A relaxed structure of BaPtO3. Source: Alexandria via LeMat-Bulk, functional GGA-PBEsol.

## Properties
formation energy (no corrections)	-1.52	eV/atom
total moment	0.00	μB per atom
space-group type	P6_3/mmc (194)
raw total energy	-6.489	eV/atom

Unit cell a=5.641 b=5.641 c=5.510 alpha=90.00 beta=90.00 gamma=120.00
Element x y z (fractional)
Ba 0.333 0.667 0.250
Ba 0.667 0.333 0.750
Pt 0.000 0.000 0.000
Pt 0.000 0.000 0.500
O 0.153 0.306 0.750
O 0.153 0.847 0.750
O 0.306 0.153 0.250
O 0.694 0.847 0.750
O 0.847 0.153 0.250
O 0.847 0.694 0.250